1.
BeCoAgPb: optimized geometry, PBE.

Summary:
E	-3.793	eV per atom
offset from the most stable computed form	0.000	eV/atom

abc: 4.438 4.438 4.438
angles: 60.00 60.00 60.00
Sites, in units of the cell vectors:
Be 0.000 0.000 0.000
Co 0.500 0.500 0.500
Ag 0.750 0.750 0.750
Pb 0.250 0.250 0.250



2.
BeCoAgSb: optimized geometry, PBE.

Summary:
E	-4.044	eV per atom
offset from the most stable computed form	0.000	eV/atom

abc: 4.381 4.381 4.381
angles: 60.00 60.00 60.00
Sites, in units of the cell vectors:
Be 0.000 0.000 0.000
Co 0.500 0.500 0.500
Ag 0.750 0.750 0.750
Sb 0.250 0.250 0.250



3.
BeCoSiAg: optimized geometry, PBE.

Summary:
E	-4.558	eV per atom
offset from the most stable computed form	0.113	eV/atom

abc: 4.105 4.105 4.105
angles: 60.00 60.00 60.00
Sites, in units of the cell vectors:
Be 0.000 0.000 0.000
Co 0.500 0.500 0.500
Si 0.250 0.250 0.250
Ag 0.750 0.750 0.750



4.
BeCoSiAg: optimized geometry, PBE.

Summary:
E	-4.670	eV per atom
offset from the most stable computed form	0.000	eV/atom

abc: 4.077 4.077 4.077
angles: 60.00 60.00 60.00
Sites, in units of the cell vectors:
Be 0.000 0.000 0.000
Co 0.750 0.750 0.750
Si 0.500 0.500 0.500
Ag 0.250 0.250 0.250



5.
BeCoAgTe: optimized geometry, PBE.

Summary:
E	-3.653	eV per atom
offset from the most stable computed form	0.000	eV/atom

abc: 4.433 4.433 4.433
angles: 60.00 60.00 60.00
Sites, in units of the cell vectors:
Be 0.000 0.000 0.000
Co 0.500 0.500 0.500
Ag 0.750 0.750 0.750
Te 0.250 0.250 0.250



6.
Be2CuAg: optimized geometry, PBE.

Summary:
E	-3.274	eV per atom

abc: 4.064 4.064 4.064
angles: 60.00 60.00 60.00
Sites, in units of the cell vectors:
Be 0.000 0.000 0.000
Be 0.250 0.250 0.250
Cu 0.500 0.500 0.500
Ag 0.750 0.750 0.750



7.
BeCuAg: optimized geometry, PBE.

Summary:
E	-3.123	eV per atom
offset from the most stable computed form	0.000	eV/atom

abc: 3.887 3.887 3.887
angles: 60.00 60.00 60.00
Sites, in units of the cell vectors:
Be 0.000 0.000 0.000
Cu 0.250 0.250 0.250
Ag 0.750 0.750 0.750



8.
BeGaCuAg: optimized geometry, PBE.

Summary:
E	-3.210	eV per atom
offset from the most stable computed form	0.000	eV/atom

abc: 4.236 4.236 4.236
angles: 60.00 60.00 60.00
Sites, in units of the cell vectors:
Be 0.000 0.000 0.000
Ga 0.500 0.500 0.500
Cu 0.750 0.750 0.750
Ag 0.250 0.250 0.250